A relaxed structure of SrZn. Source: Alexandria, functional GGA-PBEsol.

abc: 7.193 9.657 10.451
angles: 90.00 90.00 90.00
Fractional coordinates of all 24 atoms:
Zn (0.000, 0.750, 0.475)
Zn (0.250, 0.957, 0.070)
Zn (0.750, 0.163, 0.367)
Zn (0.250, 0.837, 0.633)
Zn (0.750, 0.543, 0.070)
Zn (0.500, 0.750, 0.475)
Zn (0.000, 0.250, 0.525)
Zn (0.250, 0.337, 0.367)
Zn (0.750, 0.663, 0.633)
Zn (0.500, 0.250, 0.525)
Zn (0.750, 0.043, 0.930)
Zn (0.250, 0.457, 0.930)
Sr (0.750, 0.988, 0.619)
Sr (0.750, 0.369, 0.782)
Sr (0.750, 0.488, 0.381)
Sr (0.000, 0.750, 0.886)
Sr (0.500, 0.750, 0.886)
Sr (0.250, 0.512, 0.619)
Sr (0.250, 0.012, 0.381)
Sr (0.750, 0.869, 0.218)
Sr (0.500, 0.250, 0.114)
Sr (0.250, 0.631, 0.218)
Sr (0.000, 0.250, 0.114)
Sr (0.250, 0.131, 0.782)

Its formation energy is -0.089 eV/atom.